The following is a DFT calculation (GGA-PBE) of an optimized crystal structure of Ce2C2S.

Lattice parameters (Å, degrees): 7.172 7.172 6.725 102.45 102.45 32.92
Fractional coordinates of all 10 atoms:
Ce (0.072, 0.655, 0.852)
Ce (0.345, 0.928, 0.648)
Ce (0.655, 0.072, 0.352)
Ce (0.928, 0.345, 0.148)
C (0.143, 0.415, 0.470)
C (0.415, 0.143, 0.970)
C (0.585, 0.857, 0.030)
C (0.857, 0.585, 0.530)
S (0.285, 0.715, 0.250)
S (0.715, 0.285, 0.750)

Values from the calculation:
The calculated total energy comes out at -7.86 eV/atom. As for the uncorrected formation energy: -975 meV/atom. The calculation puts the spin magnetization at 0.64 μB per formula unit. Its space group is C2/c. The calculation puts the density of states at the Fermi level at 11.83 states/eV/cell.